The following is a DFT calculation (PBE-GGA) of LiMnOs2 after structural relaxation.

Structure (POSCAR):
```
LiMnOs2
1.0
2.661 0.000 0.000
0.000 3.737 0.000
0.000 0.000 5.171
Li Mn Os
1 1 2
Direct
0.000 0.000 0.000 Li
0.000 0.000 0.500 Mn
0.500 0.500 0.241 Os
0.500 0.500 0.759 Os
```

Calculated values
The calculation puts the offset from the most stable computed form at 168 meV/atom. The symmetry is Pmmm.



The following is a DFT calculation (PBE-GGA) of LiMnOs2 after structural relaxation.

Structure (POSCAR):
```
LiMnOs2
1.0
2.949 0.000 0.000
0.000 2.949 0.000
0.000 0.000 5.729
Li Mn Os
1 1 2
Direct
0.000 0.000 0.000 Li
0.000 0.000 0.500 Mn
0.500 0.500 0.243 Os
0.500 0.500 0.757 Os
```

Calculated values
The calculation puts the offset from the most stable computed form at 155 meV/atom. The symmetry is P4/mmm.



The following is a DFT calculation (PBE-GGA) of Li2MnOs after structural relaxation.

Structure (POSCAR):
```
Li2MnOs
1.0
1.450 -2.254 0.000
1.450 2.254 0.000
0.000 0.000 9.178
Li Mn Os
2 1 1
Direct
0.000 0.000 0.000 Li
0.500 0.500 0.286 Li
0.500 0.500 0.749 Mn
0.000 0.000 0.528 Os
```

Calculated values
The calculation puts the offset from the most stable computed form at 70 meV/atom. The symmetry is Cmm2.



The following is a DFT calculation (PBE-GGA) of LiMnOs2 after structural relaxation.

Structure (POSCAR):
```
LiMnOs2
1.0
1.333 0.770 8.792
-1.333 0.770 8.792
0.000 -1.539 8.792
Li Mn Os
1 1 2
Direct
0.000 0.000 0.000 Li
0.500 0.500 0.500 Mn
0.244 0.244 0.244 Os
0.756 0.756 0.756 Os
```

Calculated values
The calculation puts the offset from the most stable computed form at 0 meV/atom. The symmetry is R-3m.



The following is a DFT calculation (PBE-GGA) of Li2MnOs after structural relaxation.

Structure (POSCAR):
```
Li2MnOs
1.0
2.892 0.000 0.000
0.000 2.892 0.000
0.000 0.000 6.712
Li Mn Os
2 1 1
Direct
0.000 0.000 0.000 Li
0.500 0.500 0.279 Li
0.000 0.000 0.541 Mn
0.500 0.500 0.729 Os
```

Calculated values
The calculation puts the offset from the most stable computed form at 46 meV/atom. The symmetry is P4mm.



The following is a DFT calculation (PBE-GGA) of Li2MnOs after structural relaxation.

Structure (POSCAR):
```
Li2MnOs
1.0
4.177 -1.286 0.000
4.177 1.286 0.000
-0.410 0.000 5.036
Li Mn Os
2 1 1
Direct
0.000 0.000 0.000 Li
0.244 0.244 0.788 Li
0.495 0.495 0.470 Mn
0.749 0.749 0.307 Os
```

Calculated values
The calculation puts the offset from the most stable computed form at 57 meV/atom. The symmetry is Cm.



no.,final energy (eV/atom),calculated volume (Å³/f.u.),ΔH_f (0 K) (eV/atom)
1,-8.09,51.42,0.29
2,-8.11,49.83,0.28
3,-5.80,60.02,0.25
4,-8.26,54.13,0.13
5,-5.83,56.15,0.23
6,-5.82,54.12,0.24